(1)
Here is a crystal of LiMn7O3F9 relaxed with PBEsol from Alexandria. Energies are from meta-GGA SCAN.

Properties
Uncorrected formation energy, eV per atom: -2.5778
Total DFT energy (no corrections), Ry per atom: -0.854

Lattice parameters (Å, degrees): 6.216 6.271 6.301 90.05 90.29 90.21
Space group P1 (No. 1)
Unique sites:
Li1 0.000 0.000 0.000
Mn1 0.057 0.727 0.560
Mn2 0.227 0.457 0.092
Mn3 0.448 0.062 0.760
Mn4 0.476 0.458 0.476
Mn5 0.550 0.926 0.269
Mn6 0.724 0.566 0.963
Mn7 0.922 0.232 0.451
O1 0.148 0.450 0.411
O2 0.513 0.616 0.192
O3 0.606 0.157 0.483
F1 0.055 0.688 0.918
F2 0.088 0.052 0.692
F3 0.307 0.084 0.077
F4 0.393 0.782 0.590
F5 0.431 0.396 0.825
F6 0.693 0.925 0.939
F7 0.776 0.556 0.633
F8 0.911 0.303 0.061
F9 0.933 0.913 0.308

(2)
Here is a crystal of SbPb2Se relaxed with PBEsol from Alexandria. Energies are from meta-GGA SCAN.

Properties
Uncorrected formation energy, eV per atom: 0.0783
Total DFT energy (no corrections), Ry per atom: -3.833
ΔE to the lowest computed polymorph, eV/f.u.: 1.260

Lattice parameters (Å, degrees): 3.706 5.306 5.370 90.00 90.00 90.00
Space group Pmmm (No. 47)
Unique sites:
Sb1 0.000 0.000 0.000
Pb1 0.000 0.500 0.500
Pb2 0.500 0.500 0.000
Se1 0.500 0.000 0.500

(3)
Here is a crystal of MnCu relaxed with PBEsol from Alexandria. Energies are from meta-GGA SCAN.

Properties
Calculated formation energy, eV per atom: 0.22
Total DFT energy (no corrections), Ry per atom: -1.213

Lattice parameters (Å, degrees): 2.4576 2.4576 4.2449 90.00 90.00 120.00
Space group P-6m2 (No. 187)
Unique sites:
Mn1 0.0000 0.0000 0.0000
Cu1 0.3333 0.6667 0.5000

(4)
Here is a crystal of SrTcOs2 relaxed with PBEsol from Alexandria. Energies are from meta-GGA SCAN.

Properties
Calculated formation energy, eV per atom: 0.91
Total DFT energy (no corrections), Ry per atom: -3.628
ΔE to the lowest computed polymorph, eV/f.u.: 0.000

Lattice parameters (Å, degrees): 2.820 4.863 9.970 90.00 90.00 90.00
Space group Immm (No. 71)
Unique sites:
Sr1 0.000 0.000 0.000
Tc1 0.000 0.000 0.500
Os1 0.000 0.500 0.219

(5)
Here is a crystal of Cd2PtAu relaxed with PBEsol from Alexandria. Energies are from meta-GGA SCAN.

Properties
Calculated formation energy, eV per atom: -0.28
Total DFT energy (no corrections), Ry per atom: -3.699

Lattice parameters (Å, degrees): 2.994 3.932 5.887 90.00 90.00 90.00
Space group Pmmm (No. 47)
Unique sites:
Cd1 0.000 0.000 0.244
Pt1 0.500 0.500 0.000
Au1 0.500 0.500 0.500

(6)
Here is a crystal of K2TeAs relaxed with PBEsol from Alexandria. Energies are from meta-GGA SCAN.

Properties
Uncorrected formation energy, eV per atom: -0.5294
Total DFT energy (no corrections), Ry per atom: -1.400

Lattice parameters (Å, degrees): 4.663 4.663 10.177 90.00 90.00 90.00
Space group I4/mmm (No. 139)
Unique sites:
K1 0.000 0.500 0.250
Te1 0.000 0.000 0.000
As1 0.000 0.000 0.500

(7)
Here is a crystal of KCr2Ir relaxed with PBEsol from Alexandria. Energies are from meta-GGA SCAN.

Properties
Calculated formation energy, eV per atom: 1.09
Total DFT energy (no corrections), Ry per atom: -2.055
ΔE to the lowest computed polymorph, eV/f.u.: 2.772

Lattice parameters (Å, degrees): 2.791 4.436 10.172 90.00 90.00 90.00
Space group Cmmm (No. 65)
Unique sites:
K1 0.000 0.000 0.000
Cr1 0.000 0.500 0.291
Ir1 0.000 0.000 0.500

(8)
Here is a crystal of CoAgSe relaxed with PBEsol from Alexandria. Energies are from meta-GGA SCAN.

Properties
Uncorrected formation energy, eV per atom: 0.2587
Total DFT energy (no corrections), Ry per atom: -1.665
ΔE to the lowest computed polymorph, eV/f.u.: 0.000

Lattice parameters (Å, degrees): 2.906 2.906 10.944 90.00 90.00 90.00
Space group I4mm (No. 107)
Unique sites:
Co1 0.000 0.000 0.000
Ag1 0.000 0.000 0.328
Se1 0.000 0.000 0.604

(9)
Here is a crystal of Mn2InFe relaxed with PBEsol from Alexandria. Energies are from meta-GGA SCAN.

Properties
Calculated formation energy, eV per atom: 0.24
Total DFT energy (no corrections), Ry per atom: -1.600

Lattice parameters (Å, degrees): 2.8255 2.8255 24.4028 90.00 90.00 120.00
Space group R-3m (No. 166, hexagonal axes)
Unique sites:
Mn1 0.0000 0.0000 0.2393
In1 0.0000 0.0000 0.0000
Fe1 0.0000 0.0000 0.5000

(10)
Here is a crystal of TiSnSN2 relaxed with PBEsol from Alexandria. Energies are from meta-GGA SCAN.

Properties
Uncorrected formation energy, eV per atom: 0.8065
Total DFT energy (no corrections), Ry per atom: -1.119

Lattice parameters (Å, degrees): 3.989 3.989 5.030 90.00 90.00 90.00
Space group P4/mmm (No. 123)
Unique sites:
Ti1 0.000 0.000 0.000
Sn1 0.500 0.500 0.500
S1 0.500 0.500 0.000
N1 0.000 0.500 0.500

(11)
Here is a crystal of ZrAl3I relaxed with PBEsol from Alexandria. Energies are from meta-GGA SCAN.

Properties
Uncorrected formation energy, eV per atom: 0.9781
Total DFT energy (no corrections), Ry per atom: -1.261

Lattice parameters (Å, degrees): 5.411 5.411 5.411 90.00 90.00 90.00
Space group Pm-3m (No. 221)
Unique sites:
Zr1 0.000 0.000 0.000
Al1 0.000 0.000 0.500
I1 0.500 0.500 0.500

(12)
Here is a crystal of MnBiSe2I relaxed with PBEsol from Alexandria. Energies are from meta-GGA SCAN.

Properties
Uncorrected formation energy, eV per atom: -0.5789
Total DFT energy (no corrections), Ry per atom: -2.596

Lattice parameters (Å, degrees): 13.166 4.063 9.849 90.00 91.46 90.00
Space group C2/m (No. 12)
Unique sites:
Mn1 0.000 0.000 0.000
Mn2 0.000 0.000 0.500
Bi1 0.215 0.500 0.305
Se1 0.069 0.000 0.255
Se2 0.135 0.500 0.559
I1 0.138 0.500 0.931

(13)
Here is a crystal of TaInFe2 relaxed with PBEsol from Alexandria. Energies are from meta-GGA SCAN.

Properties
Calculated formation energy, eV per atom: 0.25
Total DFT energy (no corrections), Ry per atom: -2.485

Lattice parameters (Å, degrees): 6.200 6.200 6.200 90.00 90.00 90.00
Space group F-43m (No. 216)
Unique sites:
Ta1 0.000 0.000 0.000
In1 0.250 0.250 0.250
Fe1 0.000 0.000 0.500
Fe2 0.250 0.250 0.750

(14)
Here is a crystal of CuSiPd3 relaxed with PBEsol from Alexandria. Energies are from meta-GGA SCAN.

Properties
Uncorrected formation energy, eV per atom: 0.8909
Total DFT energy (no corrections), Ry per atom: -1.750

Lattice parameters (Å, degrees): 4.457 4.457 4.457 90.00 90.00 90.00
Space group Pm-3m (No. 221)
Unique sites:
Cu1 0.000 0.000 0.000
Si1 0.500 0.500 0.500
Pd1 0.000 0.000 0.500

(15)
Here is a crystal of BaAl2 relaxed with PBEsol from Alexandria. Energies are from meta-GGA SCAN.

Properties
Calculated formation energy, eV per atom: -0.18
Total DFT energy (no corrections), Ry per atom: -1.362

Lattice parameters (Å, degrees): 4.675 4.675 16.298 90.00 90.00 90.00
Space group I4_1/amd (No. 141, origin choice 2)
Unique sites:
Ba1 0.000 0.250 0.375
Al1 0.000 0.250 0.791

(16)
Here is a crystal of LaCu2 relaxed with PBEsol from Alexandria. Energies are from meta-GGA SCAN.

Properties
Calculated formation energy, eV per atom: -0.23
Total DFT energy (no corrections), Ry per atom: -1.817

Lattice parameters (Å, degrees): 4.2629 4.2629 3.7536 90.00 90.00 120.00
Space group P6/mmm (No. 191)
Unique sites:
La1 0.0000 0.0000 0.0000
Cu1 0.3333 0.6667 0.5000

(17)
Here is a crystal of ZrScMo3 relaxed with PBEsol from Alexandria. Energies are from meta-GGA SCAN.

Properties
Calculated formation energy, eV per atom: 1.66
Total DFT energy (no corrections), Ry per atom: -2.077

Lattice parameters (Å, degrees): 4.567 4.567 4.567 90.00 90.00 90.00
Space group Pm-3m (No. 221)
Unique sites:
Zr1 0.000 0.000 0.000
Sc1 0.500 0.500 0.500
Mo1 0.000 0.500 0.500

(18)
Here is a crystal of TlSiO3 relaxed with PBEsol from Alexandria. Energies are from meta-GGA SCAN.

Properties
Uncorrected formation energy, eV per atom: -1.6351
Total DFT energy (no corrections), Ry per atom: -1.606

Lattice parameters (Å, degrees): 3.663 3.663 3.663 90.00 90.00 90.00
Space group Pm-3m (No. 221)
Unique sites:
Tl1 0.000 0.000 0.000
Si1 0.500 0.500 0.500
O1 0.000 0.500 0.500

(19)
Here is a crystal of MgZrAg2 relaxed with PBEsol from Alexandria. Energies are from meta-GGA SCAN.

Properties
Calculated formation energy, eV per atom: -0.11
Total DFT energy (no corrections), Ry per atom: -1.816

Lattice parameters (Å, degrees): 7.007 7.041 3.043 90.00 90.00 90.00
Space group Cmmm (No. 65)
Unique sites:
Mg1 0.000 0.000 0.000
Zr1 0.000 0.500 0.000
Ag1 0.250 0.250 0.500

(20)
Here is a crystal of Hf2PPdO relaxed with PBEsol from Alexandria. Energies are from meta-GGA SCAN.

Properties
Uncorrected formation energy, eV per atom: -0.4499
Total DFT energy (no corrections), Ry per atom: -2.602

Lattice parameters (Å, degrees): 4.944 4.944 3.454 90.00 90.00 90.00
Space group P4/mmm (No. 123)
Unique sites:
Hf1 0.000 0.500 0.000
P1 0.000 0.000 0.000
Pd1 0.500 0.500 0.500
O1 0.000 0.000 0.500

(21)
Here is a crystal of ScCdAg2 relaxed with PBEsol from Alexandria. Energies are from meta-GGA SCAN.

Properties
Calculated formation energy, eV per atom: -0.21
Total DFT energy (no corrections), Ry per atom: -1.989

Lattice parameters (Å, degrees): 3.420 3.420 6.366 90.00 90.00 90.00
Space group P4mm (No. 99)
Unique sites:
Sc1 0.000 0.000 0.000
Cd1 0.500 0.500 0.715
Ag1 0.000 0.000 0.478
Ag2 0.500 0.500 0.239

(22)
Here is a crystal of TcNi2W relaxed with PBEsol from Alexandria. Energies are from meta-GGA SCAN.

Properties
Calculated formation energy, eV per atom: 0.07
Total DFT energy (no corrections), Ry per atom: -2.514
ΔE to the lowest computed polymorph, eV/f.u.: 0.326

Lattice parameters (Å, degrees): 2.577 3.720 5.274 90.00 90.00 90.00
Space group Pmm2 (No. 25)
Unique sites:
Tc1 0.000 0.000 0.000
Ni1 0.000 0.000 0.532
Ni2 0.500 0.500 0.760
W1 0.500 0.500 0.286

(23)
Here is a crystal of Cd2IrRh relaxed with PBEsol from Alexandria. Energies are from meta-GGA SCAN.

Properties
Calculated formation energy, eV per atom: 0.24
Total DFT energy (no corrections), Ry per atom: -3.027

Lattice parameters (Å, degrees): 6.380 6.380 6.380 90.00 90.00 90.00
Space group F-43m (No. 216)
Unique sites:
Cd1 0.000 0.000 0.000
Cd2 0.250 0.250 0.250
Ir1 0.250 0.250 0.750
Rh1 0.000 0.000 0.500

(24)
Here is a crystal of CuPbBr relaxed with PBEsol from Alexandria. Energies are from meta-GGA SCAN.

Properties
Uncorrected formation energy, eV per atom: 0.0175
Total DFT energy (no corrections), Ry per atom: -2.704
ΔE to the lowest computed polymorph, eV/f.u.: 0.000

Lattice parameters (Å, degrees): 3.420 3.420 11.477 90.00 90.00 90.00
Space group I4mm (No. 107)
Unique sites:
Cu1 0.000 0.000 0.000
Pb1 0.000 0.000 0.642
Br1 0.000 0.000 0.371

(25)
Here is a crystal of CdAsS2 relaxed with PBEsol from Alexandria. Energies are from meta-GGA SCAN.

Properties
Uncorrected formation energy, eV per atom: 0.0348
Total DFT energy (no corrections), Ry per atom: -1.281

Lattice parameters (Å, degrees): 3.7486 3.7486 22.7371 90.00 90.00 120.00
Space group R-3m (No. 166, hexagonal axes)
Unique sites:
Cd1 0.0000 0.0000 0.0000
As1 0.0000 0.0000 0.5000
S1 0.0000 0.0000 0.3982

(26)
Here is a crystal of BaGdAuSe3 relaxed with PBEsol from Alexandria. Energies are from meta-GGA SCAN.

Properties
Uncorrected formation energy, eV per atom: -1.6907
Total DFT energy (no corrections), Ry per atom: -2.914

Lattice parameters (Å, degrees): 4.206 14.035 10.621 90.00 90.00 90.00
Space group Cmcm (No. 63)
Unique sites:
Ba1 0.000 0.248 0.250
Gd1 0.000 0.000 0.000
Au1 0.000 0.466 0.750
Se1 0.000 0.079 0.750
Se2 0.000 0.361 0.551